ReBTe2: optimized geometry, PBE-GGA.

It has space group Fm-3m (No. 225), with a = 6.602 Å, b = 6.602 Å, c = 6.602 Å, α = 90.00°, β = 90.00° and γ = 90.00°. The asymmetric unit holds Re at (0.000, 0.000, 0.000), B at (0.000, 0.000, 0.500) and Te at (0.250, 0.250, 0.250).

For the energy above the lowest structure with this stoichiometry, the calculation gives 340 meV per atom. The formation energy from raw total energies is 1.24 eV per atom. The density of states at the Fermi level is 9.524 states/eV/cell. Its spin magnetization is 0.000 μB per formula unit.